VASP calculation (GGA-PBE) on a relaxed ErZrZnHg crystal.

Structure (POSCAR):
```
ErZrZnHg
1.0
0.000 3.532 3.532
3.532 0.000 3.532
3.532 3.532 0.000
Er Zr Zn Hg
1 1 1 1
Direct
0.000 0.000 0.000
0.500 0.500 0.500
0.750 0.750 0.750
0.250 0.250 0.250
```

- ΔE_f (eV/f.u.) = -0.90
- space group = F-43m
- E (Ry per atom) = -0.286
- mass density (Mg/m³) = 9.88

VASP calculation (GGA-PBE) on a relaxed KSn3Sb crystal.

Structure (POSCAR):
```
KSn3Sb
1.0
5.810 0.000 0.000
0.000 5.810 0.000
0.000 0.000 5.810
K Sn Sb
1 3 1
Direct
0.000 0.000 0.000
0.000 0.000 0.500
0.000 0.500 0.000
0.500 0.000 0.000
0.500 0.500 0.500
```

- space group = Pm-3m
- E (Ry per atom) = -0.168
- ΔE_f (raw) (eV/f.u.) = 5.82
- relative energy among the computed polymorphs (meV per atom) = 1212.5
- mass density (Mg/m³) = 4.38

VASP calculation (GGA-PBE) on a relaxed ReOsAu2 crystal.

Structure (POSCAR):
```
ReOsAu2
1.0
2.855 0.000 0.000
0.000 3.876 0.000
-0.015 0.000 5.873
Re Os Au
1 1 2
Direct
0.000 0.000 0.000
0.498 0.500 0.189
0.499 0.500 0.724
0.999 0.000 0.468
```

- ΔE_f (eV/f.u.) = 1.48
- space group = Pm
- E (Ry per atom) = -0.528
- relative energy among the computed polymorphs (meV per atom) = 151.1
- mass density (Mg/m³) = 19.68